Density functional theory data (PBE) for a relaxed structure of KSi2Pt5.

CIF file:
```
data_KSi2Pt5
_chemical_formula_sum 'K2 Si4 Pt10'
_symmetry_space_group_name_H-M 'I m m m'
_symmetry_Int_Tables_number 71
_symmetry_space_group_name_Hall '-I 2 2'
_cell_length_a 3.912
_cell_length_b 7.099
_cell_length_c 10.073
_cell_angle_alpha 90.00
_cell_angle_beta 90.00
_cell_angle_gamma 90.00
loop_
_atom_site_label
_atom_site_type_symbol
_atom_site_fract_x
_atom_site_fract_y
_atom_site_fract_z
K1 K 0.000 0.000 0.000
Si1 Si 0.000 0.500 0.239
Pt1 Pt 0.000 0.196 0.344
Pt2 Pt 0.000 0.500 0.000
```

formation energy (no corrections)	-55.7	kJ/mol of atoms

Density functional theory data (PBE) for a relaxed structure of CrFe2Ag.

CIF file:
```
data_CrFe2Ag
_chemical_formula_sum 'Cr2 Fe4 Ag2'
_symmetry_space_group_name_H-M 'C 1 2/m 1'
_symmetry_Int_Tables_number 12
_symmetry_space_group_name_Hall '-C 2y'
_cell_length_a 5.307
_cell_length_b 7.566
_cell_length_c 2.724
_cell_angle_alpha 90.00
_cell_angle_beta 90.23
_cell_angle_gamma 90.00
loop_
_atom_site_label
_atom_site_type_symbol
_atom_site_fract_x
_atom_site_fract_y
_atom_site_fract_z
Cr1 Cr 0.000 0.000 0.000
Fe1 Fe 0.250 0.250 0.500
Ag1 Ag 0.000 0.500 0.000
```

energy of formation	0.43	eV per atom
relative energy among the computed polymorphs	113.2	meV per atom

Density functional theory data (PBE) for a relaxed structure of RbCo2AgCl8.

CIF file:
```
data_RbCo2AgCl8
_chemical_formula_sum 'Rb3 Co6 Ag3 Cl24'
_symmetry_space_group_name_H-M 'R -3'
_symmetry_Int_Tables_number 148
_symmetry_space_group_name_Hall '-R 3'
_cell_length_a 6.4504
_cell_length_b 6.4504
_cell_length_c 28.1552
_cell_angle_alpha 90.00
_cell_angle_beta 90.00
_cell_angle_gamma 120.00
loop_
_atom_site_label
_atom_site_type_symbol
_atom_site_fract_x
_atom_site_fract_y
_atom_site_fract_z
Rb1 Rb 0.0000 0.0000 0.0000
Co1 Co 0.0000 0.0000 0.2475
Ag1 Ag 0.0000 0.0000 0.5000
Cl1 Cl 0.0000 0.0000 0.3249
Cl2 Cl 0.0041 0.3251 0.7763
```

formation energy (no corrections)	-74.1	kJ/mol of atoms

Density functional theory data (PBE) for a relaxed structure of Th2GaSi4Pd3.

CIF file:
```
data_Th2GaSi4Pd3
_chemical_formula_sum 'Th2 Ga1 Si4 Pd3'
_symmetry_space_group_name_H-M 'P -4 m 2'
_symmetry_Int_Tables_number 115
_symmetry_space_group_name_Hall 'P -4 -2'
_cell_length_a 4.288
_cell_length_b 4.288
_cell_length_c 9.928
_cell_angle_alpha 90.00
_cell_angle_beta 90.00
_cell_angle_gamma 90.00
loop_
_atom_site_label
_atom_site_type_symbol
_atom_site_fract_x
_atom_site_fract_y
_atom_site_fract_z
Th1 Th 0.000 0.500 0.245
Ga1 Ga 0.000 0.000 0.500
Si1 Si 0.000 0.000 0.000
Si2 Si 0.000 0.500 0.636
Si3 Si 0.500 0.500 0.000
Pd1 Pd 0.000 0.500 0.880
Pd2 Pd 0.500 0.500 0.500
```

formation energy (no corrections)	-76.6	kJ/mol of atoms

Density functional theory data (PBE) for a relaxed structure of Y2Mg3Cu2.

CIF file:
```
data_Y2Mg3Cu2
_chemical_formula_sum 'Y4 Mg6 Cu4'
_symmetry_space_group_name_H-M 'C m m m'
_symmetry_Int_Tables_number 65
_symmetry_space_group_name_Hall '-C 2 2'
_cell_length_a 3.354
_cell_length_b 27.664
_cell_length_c 3.337
_cell_angle_alpha 90.00
_cell_angle_beta 90.00
_cell_angle_gamma 90.00
loop_
_atom_site_label
_atom_site_type_symbol
_atom_site_fract_x
_atom_site_fract_y
_atom_site_fract_z
Y1 Y 0.000 0.190 0.000
Mg1 Mg 0.000 0.074 0.000
Mg2 Mg 0.000 0.500 0.500
Cu1 Cu 0.000 0.373 0.500
```

energy of formation	-0.05	eV per atom
relative energy among the computed polymorphs	125.8	meV per atom

Density functional theory data (PBE) for a relaxed structure of BaN2F2.

CIF file:
```
data_BaN2F2
_chemical_formula_sum 'Ba2 N4 F4'
_symmetry_space_group_name_H-M 'C 1 2/m 1'
_symmetry_Int_Tables_number 12
_symmetry_space_group_name_Hall '-C 2y'
_cell_length_a 9.500
_cell_length_b 7.017
_cell_length_c 4.124
_cell_angle_alpha 90.00
_cell_angle_beta 111.42
_cell_angle_gamma 90.00
loop_
_atom_site_label
_atom_site_type_symbol
_atom_site_fract_x
_atom_site_fract_y
_atom_site_fract_z
Ba1 Ba 0.000 0.000 0.000
N1 N 0.028 0.500 0.902
F1 F 0.168 0.000 0.641
```

formation energy (no corrections)	-195.0	kJ/mol of atoms
relative energy among the computed polymorphs	210.4	meV per atom

Density functional theory data (PBE) for a relaxed structure of Na2Sn4Pb3.

CIF file:
```
data_Na2Sn4Pb3
_chemical_formula_sum 'Na4 Sn8 Pb6'
_symmetry_space_group_name_H-M 'C 1 2/m 1'
_symmetry_Int_Tables_number 12
_symmetry_space_group_name_Hall '-C 2y'
_cell_length_a 11.460
_cell_length_b 3.485
_cell_length_c 13.915
_cell_angle_alpha 90.00
_cell_angle_beta 111.87
_cell_angle_gamma 90.00
loop_
_atom_site_label
_atom_site_type_symbol
_atom_site_fract_x
_atom_site_fract_y
_atom_site_fract_z
Na1 Na 0.058 0.000 0.221
Sn1 Sn 0.165 0.000 0.672
Sn2 Sn 0.221 0.500 0.890
Pb1 Pb 0.000 0.500 0.000
Pb2 Pb 0.106 0.500 0.443
```

energy of formation	-0.06	eV per atom

Density functional theory data (PBE) for a relaxed structure of NdNbCu.

CIF file:
```
data_NdNbCu
_chemical_formula_sum 'Nd2 Nb2 Cu2'
_symmetry_space_group_name_H-M 'P 4/m m m'
_symmetry_Int_Tables_number 123
_symmetry_space_group_name_Hall '-P 4 2'
_cell_length_a 3.471
_cell_length_b 3.471
_cell_length_c 10.679
_cell_angle_alpha 90.00
_cell_angle_beta 90.00
_cell_angle_gamma 90.00
loop_
_atom_site_label
_atom_site_type_symbol
_atom_site_fract_x
_atom_site_fract_y
_atom_site_fract_z
Nd1 Nd 0.000 0.000 0.180
Nb1 Nb 0.500 0.500 0.385
Cu1 Cu 0.000 0.000 0.500
Cu2 Cu 0.500 0.500 0.000
```

energy of formation	0.18	eV per atom

Density functional theory data (PBE) for a relaxed structure of Sc2AsRu.

CIF file:
```
data_Sc2AsRu
_chemical_formula_sum 'Sc6 As3 Ru3'
_symmetry_space_group_name_H-M 'R 3 m'
_symmetry_Int_Tables_number 160
_symmetry_space_group_name_Hall 'R 3 -2"'
_cell_length_a 3.3455
_cell_length_b 3.3455
_cell_length_c 24.8895
_cell_angle_alpha 90.00
_cell_angle_beta 90.00
_cell_angle_gamma 120.00
loop_
_atom_site_label
_atom_site_type_symbol
_atom_site_fract_x
_atom_site_fract_y
_atom_site_fract_z
Sc1 Sc 0.0000 0.0000 0.0000
Sc2 Sc 0.0000 0.0000 0.2263
As1 As 0.0000 0.0000 0.7478
Ru1 Ru 0.0000 0.0000 0.4731
```

energy of formation	-0.19	eV per atom

Density functional theory data (PBE) for a relaxed structure of TbNdTmHg.

CIF file:
```
data_TbNdTmHg
_chemical_formula_sum 'Tb4 Nd4 Tm4 Hg4'
_symmetry_space_group_name_H-M 'F -4 3 m'
_symmetry_Int_Tables_number 216
_symmetry_space_group_name_Hall 'F -4 2 3'
_cell_length_a 7.714
_cell_length_b 7.714
_cell_length_c 7.714
_cell_angle_alpha 90.00
_cell_angle_beta 90.00
_cell_angle_gamma 90.00
loop_
_atom_site_label
_atom_site_type_symbol
_atom_site_fract_x
_atom_site_fract_y
_atom_site_fract_z
Tb1 Tb 0.000 0.000 0.000
Nd1 Nd 0.000 0.000 0.500
Tm1 Tm 0.250 0.250 0.750
Hg1 Hg 0.250 0.250 0.250
```

energy of formation	-0.07	eV per atom
relative energy among the computed polymorphs	161.5	meV per atom

Density functional theory data (PBE) for a relaxed structure of Nd7SmY3.

CIF file:
```
data_Nd7SmY3
_chemical_formula_sum 'Nd14 Sm2 Y6'
_symmetry_space_group_name_H-M 'C 1 2/m 1'
_symmetry_Int_Tables_number 12
_symmetry_space_group_name_Hall '-C 2y'
_cell_length_a 11.850
_cell_length_b 10.248
_cell_length_c 6.485
_cell_angle_alpha 90.00
_cell_angle_beta 95.69
_cell_angle_gamma 90.00
loop_
_atom_site_label
_atom_site_type_symbol
_atom_site_fract_x
_atom_site_fract_y
_atom_site_fract_z
Nd1 Nd 0.000 0.000 0.000
Nd2 Nd 0.238 0.500 0.214
Nd3 Nd 0.250 0.174 0.260
Sm1 Sm 0.000 0.000 0.500
Y1 Y 0.000 0.331 0.000
Y2 Y 0.000 0.500 0.500
```

energy of formation	0.23	eV per atom
relative energy among the computed polymorphs	6.3	meV per atom

Density functional theory data (PBE) for a relaxed structure of In2AuCl.

CIF file:
```
data_In2AuCl
_chemical_formula_sum 'In6 Au3 Cl3'
_symmetry_space_group_name_H-M 'R 3 m'
_symmetry_Int_Tables_number 160
_symmetry_space_group_name_Hall 'R 3 -2"'
_cell_length_a 4.0235
_cell_length_b 4.0235
_cell_length_c 22.9953
_cell_angle_alpha 90.00
_cell_angle_beta 90.00
_cell_angle_gamma 120.00
loop_
_atom_site_label
_atom_site_type_symbol
_atom_site_fract_x
_atom_site_fract_y
_atom_site_fract_z
In1 In 0.0000 0.0000 0.0000
In2 In 0.0000 0.0000 0.1897
Au1 Au 0.0000 0.0000 0.5948
Cl1 Cl 0.0000 0.0000 0.4178
```

formation energy (no corrections)	-35.5	kJ/mol of atoms
relative energy among the computed polymorphs	70.3	meV per atom